Run 1
A geometry-optimized NaPu2Cl6 structure. Source: the Alexandria database, functional GGA-PBE.

Lattice parameters (Å, degrees): 6.590 6.590 12.780 90.00 90.00 90.00
Space group P4_2/mnm (No. 136)
Asymmetric unit:
Na1 0.000 0.000 0.000 (multiplicity 2)
Pu1 0.000 0.000 0.333 (multiplicity 4)
Cl1 0.193 0.193 0.500 (multiplicity 4)
Cl2 0.200 0.200 0.170 (multiplicity 8)

Output
DOS(E_F) = 54.6 states/eV/cell
Density = 4330 kg/m³

Run 2
A geometry-optimized NaPu2Cl6 structure. Source: the Alexandria database, functional GGA-PBE.

Lattice parameters (Å, degrees): 7.1701 7.1701 19.9159 90.00 90.00 120.00
Space group R3 (No. 146, hexagonal axes)
Asymmetric unit:
Na1 0.0000 0.0000 0.0000 (multiplicity 3)
Pu1 0.0000 0.0000 0.3098 (multiplicity 3)
Pu2 0.0000 0.0000 0.5014 (multiplicity 3)
Cl1 0.0137 0.3389 0.5770 (multiplicity 9)
Cl2 0.0631 0.6991 0.0721 (multiplicity 9)

Output
DOS(E_F) = 75.6 states/eV/cell
Density = 4066 kg/m³

Verdict on stability: run 2 comes out at the bottom.

Run 1
A geometry-optimized Na3Pu2Cl8 structure. Source: the Alexandria database, functional GGA-PBE.

Lattice parameters (Å, degrees): 14.742 7.877 6.753 90.00 109.54 90.00
Space group C2/m (No. 12)
Asymmetric unit:
Na1 0.000 0.000 0.000 (multiplicity 2)
Na2 0.000 0.264 0.500 (multiplicity 4)
Pu1 0.240 0.500 0.173 (multiplicity 4)
Cl1 0.116 0.000 0.436 (multiplicity 4)
Cl2 0.116 0.500 0.395 (multiplicity 4)
Cl3 0.129 0.235 0.919 (multiplicity 8)

Output
DOS(E_F) = 68.8 states/eV/cell
Density = 3778 kg/m³

Run 2
A geometry-optimized Na3Pu2Cl8 structure. Source: the Alexandria database, functional GGA-PBE.

Lattice parameters (Å, degrees): 14.425 8.354 6.842 90.00 108.03 90.00
Space group C2/m (No. 12)
Asymmetric unit:
Na1 0.000 0.000 0.000 (multiplicity 2)
Na2 0.000 0.256 0.500 (multiplicity 4)
Pu1 0.243 0.500 0.458 (multiplicity 4)
Cl1 0.111 0.000 0.732 (multiplicity 4)
Cl2 0.124 0.500 0.699 (multiplicity 4)
Cl3 0.136 0.227 0.271 (multiplicity 8)

Output
DOS(E_F) = 47.5 states/eV/cell
Density = 3561 kg/m³

Verdict on stability: run 1 comes out at the bottom.

Run 1
A geometry-optimized RbNa2Cl structure. Source: the Alexandria database, functional GGA-PBE.

Lattice parameters (Å, degrees): 4.2070 4.2070 34.0598 90.00 90.00 120.00
Space group R-3m (No. 166, hexagonal axes)
Asymmetric unit:
Rb1 0.0000 0.0000 0.0000 (multiplicity 3)
Na1 0.0000 0.0000 0.1193 (multiplicity 6)
Cl1 0.0000 0.0000 0.5000 (multiplicity 3)

Output
DOS(E_F) = 7.8 states/eV/cell
Density = 1593 kg/m³

Run 2
A geometry-optimized RbNa2Cl structure. Source: the Alexandria database, functional GGA-PBE.

Lattice parameters (Å, degrees): 8.650 8.650 11.881 90.00 90.00 90.00
Space group I-42d (No. 122)
Asymmetric unit:
Rb1 0.000 0.000 0.000 (multiplicity 4)
Na1 0.056 0.250 0.625 (multiplicity 8)
Cl1 0.000 0.000 0.500 (multiplicity 4)

Output
DOS(E_F) = 8.2 states/eV/cell
Density = 1247 kg/m³

Run 3
A geometry-optimized RbNa2Cl structure. Source: the Alexandria database, functional GGA-PBE.

Lattice parameters (Å, degrees): 8.732 8.732 8.732 90.00 90.00 90.00
Space group Fm-3m (No. 225)
Asymmetric unit:
Rb1 0.000 0.000 0.000 (multiplicity 4)
Na1 0.250 0.250 0.250 (multiplicity 8)
Cl1 0.000 0.000 0.500 (multiplicity 4)

Output
DOS(E_F) = 9.5 states/eV/cell
Density = 1665 kg/m³

Verdict on stability: run 3 comes out at the bottom.